No. 1
Compound: MgZn2Ag
Source: Alexandria via LeMat-Bulk
Functional: PBE
Structure: relaxed

a = 5.6840 Å, b = 8.0772 Å, c = 2.9696 Å
α = 90.00°, β = 90.00°, γ = 90.00°
Space group Cmmm (No. 65)
Unique sites:
Mg  0.0000  0.0000  0.0000 x2
Zn  0.2500  0.2500  0.5000 x4
Ag  0.0000  0.5000  0.0000 x2

As for the calculated total energy: -14.372 eV for the cell shown.

---

No. 2
Compound: Mg3Zn2Ag8
Source: Alexandria via LeMat-Bulk
Functional: PBE
Structure: relaxed

a = 7.4105 Å, b = 14.2206 Å, c = 4.6818 Å
α = 90.00°, β = 90.00°, γ = 90.00°
Space group Cmmm (No. 65)
Unique sites:
Mg  0.0000  0.0000  0.0000 x2
Mg  0.2012  0.5000  0.5000 x4
Zn  0.0000  0.2204  0.0000 x4
Ag  0.0000  0.1223  0.5000 x4
Ag  0.0000  0.3236  0.5000 x4
Ag  0.1948  0.3859  0.0000 x8

As for the distance to the lowest polymorph of the same formula: 0.00 eV per formula unit.

---

No. 3
Compound: Mg2ZnAg
Source: Alexandria via LeMat-Bulk
Functional: PBE
Structure: relaxed

a = 6.6155 Å, b = 6.9035 Å, c = 3.1933 Å
α = 90.00°, β = 90.00°, γ = 90.00°
Space group Cmmm (No. 65)
Unique sites:
Mg  0.2500  0.2500  0.0000 x4
Zn  0.0000  0.0000  0.5000 x2
Ag  0.0000  0.5000  0.5000 x2

As for the calculated total energy: -15.930 eV for the cell shown.

---

Repeat the first record exactly.
Compound: MgZn2Ag
Source: Alexandria via LeMat-Bulk
Functional: PBE
Structure: relaxed

a = 5.6840 Å, b = 8.0772 Å, c = 2.9696 Å
α = 90.00°, β = 90.00°, γ = 90.00°
Space group Cmmm (No. 65)
Unique sites:
Mg  0.0000  0.0000  0.0000 x2
Zn  0.2500  0.2500  0.5000 x4
Ag  0.0000  0.5000  0.0000 x2

As for the calculated total energy: -14.372 eV for the cell shown.